Entry 1:
A geometry-optimized Y3AlRu3 structure, computed with PBE-GGA.

Cell lengths 4.1583, 5.6267, 13.4526 Å; angles 90.00, 90.00, 111.69 degrees
Positions (direct):
Y 0.2024 0.4049 0.8945
Y 0.7976 0.5951 0.1055
Y 0.2024 0.4049 0.6055
Y 0.7976 0.5951 0.3945
Y 0.4899 0.9798 0.7500
Y 0.5101 0.0202 0.2500
Al 0.5000 0.0000 0.0000
Al 0.5000 0.0000 0.5000
Ru 0.9148 0.8297 0.9065
Ru 0.0852 0.1703 0.0935
Ru 0.9148 0.8297 0.5935
Ru 0.0852 0.1703 0.4065
Ru 0.7822 0.5644 0.7500
Ru 0.2178 0.4356 0.2500

**SG**: Cmcm
**Calculated formation energy**: -446 meV/atom

=====

Entry 2:
A geometry-optimized SrIn3Sb structure, computed with PBE-GGA.

Cell lengths 6.0650, 6.0650, 6.0650 Å; angles 90.00, 90.00, 90.00 degrees
Positions (direct):
Sb 0.5000 0.5000 0.5000
Sr 0.0000 0.0000 0.0000
In 0.0000 0.5000 0.0000
In 0.0000 0.0000 0.5000
In 0.5000 0.0000 0.0000

**Energy relative to the elements, uncorrected**: 780 meV per atom
**SG**: Pm-3m
**Energy above the most stable polymorph in this dataset**: 3.07 eV per formula unit

=====

Entry 3:
A geometry-optimized Pm4Y5Th2 structure, computed with PBE-GGA.

Cell lengths 3.6049, 9.5253, 15.2905 Å; angles 79.73, 135.04, 100.78 degrees
Positions (direct):
Pm 0.2288 0.1779 0.5464
Pm 0.3878 0.7218 0.1760
Pm 0.7712 0.8221 0.4536
Pm 0.6122 0.2782 0.8240
Y 0.6897 0.5477 0.6390
Y 0.3103 0.4523 0.3610
Y 0.1432 0.9053 0.7303
Y 0.5000 0.0000 0.0000
Y 0.8568 0.0947 0.2697
Th 0.0397 0.6333 0.9081
Th 0.9603 0.3667 0.0919

**SG**: P-1
**Calculated formation energy**: 25 meV/atom
**Energy above the most stable polymorph in this dataset**: 0.00 eV per formula unit

=====

Entry 4:
A geometry-optimized CsAuO structure, computed with PBE-GGA.

Cell lengths 5.8341, 6.1444, 6.2025 Å; angles 90.00, 118.05, 90.00 degrees
Positions (direct):
Cs 0.3098 0.7500 0.6196
Cs 0.6902 0.2500 0.3804
Au 0.0000 0.0000 0.0000
Au 0.0000 0.5000 0.0000
O 0.1234 0.2500 0.2469
O 0.8766 0.7500 0.7531

**Energy relative to the elements, uncorrected**: -833 meV per atom
**SG**: Cmcm

=====

Entry 5:
A geometry-optimized NdHoTmHg structure, computed with PBE-GGA.

Cell lengths 5.4394, 5.4394, 5.4394 Å; angles 60.00, 60.00, 60.00 degrees
Positions (direct):
Tm 0.7500 0.7500 0.7500
Nd 0.0000 0.0000 0.0000
Hg 0.2500 0.2500 0.2500
Ho 0.5000 0.5000 0.5000

**SG**: F-43m
**Calculated formation energy**: -63 meV/atom
**Energy above the most stable polymorph in this dataset**: 0.70 eV per formula unit

=====

Entry 6:
A geometry-optimized Pm2Mg3Ni4 structure, computed with PBE-GGA.

Cell lengths 5.6694, 6.8125, 9.0582 Å; angles 90.00, 108.24, 90.00 degrees
Positions (direct):
Pm 0.1028 0.5832 0.2056
Pm 0.8972 0.4168 0.7944
Pm 0.3972 0.0832 0.7944
Pm 0.6028 0.9168 0.2056
Mg 0.0000 0.0000 0.0000
Mg 0.5000 0.5000 0.0000
Mg 0.5124 0.7500 0.5248
Mg 0.9876 0.2500 0.4752
Mg 0.4876 0.2500 0.4752
Mg 0.0124 0.7500 0.5248
Ni 0.6682 0.7500 0.8365
Ni 0.8318 0.2500 0.1635
Ni 0.3318 0.2500 0.1635
Ni 0.1682 0.7500 0.8365
Ni 0.1544 0.9932 0.3088
Ni 0.8456 0.0068 0.6912
Ni 0.3456 0.4932 0.6912
Ni 0.6544 0.5068 0.3088

**SG**: Cmce
**Calculated formation energy**: -212 meV/atom

=====

Entry 7:
A geometry-optimized CuBSe2 structure, computed with PBE-GGA.

Cell lengths 7.0534, 7.4202, 4.3654 Å; angles 71.44, 85.21, 52.46 degrees
Positions (direct):
B 0.6419 0.5435 0.2545
B 0.6755 0.3686 0.0532
Se 0.4400 0.5357 0.6374
Se 0.9938 0.4046 0.3923
Se 0.4936 0.8873 0.9302
Se 0.8879 0.0153 0.2314
Cu 0.0793 0.2043 0.9748
Cu 0.1931 0.9552 0.5834

**Energy relative to the elements, uncorrected**: -17 meV per atom
**SG**: P1

=====

Entry 8:
A geometry-optimized MgTl2B4 structure, computed with PBE-GGA.

Cell lengths 4.4581, 4.4581, 7.1653 Å; angles 71.88, 71.88, 90.00 degrees
Positions (direct):
Tl 0.6358 0.6358 0.7284
Tl 0.3642 0.3642 0.2716
B 0.8201 0.8201 0.3599
B 0.1799 0.1799 0.6401
B 0.0000 0.5000 0.0000
B 0.5000 0.0000 0.0000
Mg 0.0000 0.0000 0.0000

**SG**: I4/mmm
**Calculated formation energy**: 1910 meV/atom

=====

Entry 9:
A geometry-optimized Mg5In2Ni2Hg structure, computed with PBE-GGA.

Cell lengths 4.0705, 9.7683, 9.7683 Å; angles 90.00, 90.00, 90.00 degrees
Positions (direct):
Mg 0.5000 0.2097 0.0775
Mg 0.5000 0.7903 0.9225
Mg 0.5000 0.0775 0.7903
Mg 0.5000 0.7097 0.4225
Mg 0.5000 0.9225 0.2097
Mg 0.5000 0.2903 0.5775
Mg 0.5000 0.5775 0.7097
Mg 0.5000 0.4225 0.2903
Mg 0.5000 0.5000 0.0000
Mg 0.5000 0.0000 0.5000
In 0.0000 0.6706 0.1706
In 0.0000 0.3294 0.8294
In 0.0000 0.1706 0.3294
In 0.0000 0.8294 0.6706
Ni 0.0000 0.1208 0.6208
Ni 0.0000 0.8792 0.3792
Ni 0.0000 0.6208 0.8792
Ni 0.0000 0.3792 0.1208
Hg 0.0000 0.0000 0.0000
Hg 0.0000 0.5000 0.5000

**SG**: P4/mbm
**Calculated formation energy**: -119 meV/atom

=====

Entry 10:
A geometry-optimized SrH5O4 structure, computed with PBE-GGA.

Cell lengths 5.6570, 6.2431, 5.3628 Å; angles 90.00, 90.00, 90.00 degrees
Positions (direct):
Sr 0.7926 0.0000 0.0000
Sr 0.2074 0.5000 0.5000
H 0.3117 0.8368 0.8572
H 0.3117 0.1632 0.8572
H 0.8195 0.5000 0.0000
H 0.3117 0.8368 0.1428
H 0.3117 0.1632 0.1428
H 0.6883 0.6632 0.3572
H 0.6883 0.3368 0.3572
H 0.1805 0.0000 0.5000
H 0.6883 0.3368 0.6428
H 0.6883 0.6632 0.6428
O 0.1354 0.0000 0.7139
O 0.4029 0.7680 0.0000
O 0.4029 0.2320 0.0000
O 0.1354 0.0000 0.2861
O 0.8646 0.5000 0.2139
O 0.5971 0.7320 0.5000
O 0.5971 0.2680 0.5000
O 0.8646 0.5000 0.7861

**SG**: Pmmn
**Energy**: -4.997 eV/atom

=====

Entry 11:
A geometry-optimized NdMgInGa structure, computed with PBE-GGA.

Cell lengths 5.1580, 5.1580, 5.1580 Å; angles 60.00, 60.00, 60.00 degrees
Positions (direct):
Mg 0.5000 0.5000 0.5000
Nd 0.0000 0.0000 0.0000
Ga 0.2500 0.2500 0.2500
In 0.7500 0.7500 0.7500

**SG**: F-43m
**Calculated formation energy**: -333 meV/atom
**Energy above the most stable polymorph in this dataset**: 0.35 eV per formula unit

=====

Entry 12:
A geometry-optimized SbPd14Pt structure, computed with PBE-GGA.

Cell lengths 5.6053, 5.6053, 9.2100 Å; angles 90.00, 90.00, 119.70 degrees
Positions (direct):
Sb 0.0410 0.9590 0.5000
Pd 0.2078 0.7922 0.0000
Pd 0.7076 0.2924 0.0000
Pd 0.0431 0.4588 0.5000
Pd 0.2076 0.2923 0.0000
Pd 0.5412 0.9569 0.5000
Pd 0.7077 0.7924 0.0000
Pd 0.3757 0.1252 0.7502
Pd 0.3757 0.1252 0.2498
Pd 0.8748 0.6243 0.7502
Pd 0.8748 0.6243 0.2498
Pd 0.3755 0.6245 0.7519
Pd 0.3755 0.6245 0.2481
Pd 0.8755 0.1245 0.7508
Pd 0.8755 0.1245 0.2492
Pt 0.5410 0.4590 0.5000

**Energy relative to the elements, uncorrected**: -98 meV per atom
**SG**: Amm2